# 1
Material: Ta5Ge3
Method: DFT, PBE
State: optimized geometry

Output
Calculated total energy: -9.50 eV per atom
Total moment: 0.000 Bohr magnetons per cell

```
Ta5Ge3
1.0
1.435 4.196 4.973
-6.002 2.819 -0.647
0.004 -7.447 1.819
Ge Ta
6 10
Cartesian
0.096 3.054 3.075
-1.988 1.597 0.442
-2.579 5.418 3.884
-4.663 3.962 1.250
-1.140 -1.969 1.991
-3.423 1.538 4.154
0.000 0.000 0.000
-2.284 3.508 2.163
-1.179 0.663 2.812
-1.536 3.265 5.183
-4.437 1.321 1.599
-4.794 3.924 3.969
0.231 -4.355 2.175
-0.126 -1.752 4.546
-3.027 -3.696 0.962
-3.384 -1.094 3.333
```

# 2
Material: TaGe
Method: DFT, PBE
State: optimized geometry

Output
Calculated total energy: -7.22 eV per atom
Total moment: 0.000 Bohr magnetons per cell

```
TaGe
1.0
-2.013 3.161 1.743
-0.827 3.394 -2.210
-3.889 0.842 -1.118
Ge Ta
1 1
Cartesian
0.000 0.000 0.000
-1.682 1.849 -0.396
```

# 3
Material: TbYTa2Ge2
Method: DFT, PBE
State: optimized geometry

Output
Calculated total energy: -7.94 eV per atom
Total moment: 1.082 Bohr magnetons per cell

```
TbYTa2Ge2
1.0
-3.183 -2.011 1.451
1.863 -0.381 3.558
-3.192 6.783 2.397
Ge Ta Tb Y
2 2 1 1
Cartesian
-1.444 0.470 3.093
-2.408 5.117 1.808
-1.591 -1.005 0.725
0.931 -0.190 1.779
-1.121 2.382 0.842
-2.731 3.205 4.060
```

# 4
Material: Ta2GeTe2
Method: DFT, PBE
State: optimized geometry

Output
Calculated total energy: -6.23 eV per atom
Total moment: 0.000 Bohr magnetons per cell

```
Ta2GeTe2
1.0
-1.539 -2.955 5.834
-6.218 -2.129 1.394
4.584 -0.361 -4.898
Ge Ta Te
1 2 2
Cartesian
0.000 0.000 0.000
-2.998 -1.965 2.794
-4.759 -3.119 4.435
-0.416 -2.929 2.275
-2.756 -2.516 0.055
```